Record 1
A relaxed CuSi3Pt12Pb2 crystal, computed with PBE.

Output
theoretical density: 14.013 g/cm3
energy: -5.79 eV per atom

Geometry as CIF:
```
data_CuSi3Pt12Pb2
_chemical_formula_sum 'Cu3 Si9 Pt36 Pb6'
_space_group_name_H-M_alt 'R -3 m'
_space_group_IT_number 166
_space_group_name_Hall '-R 3 2"'
_cell_length_a 8.1230
_cell_length_b 8.1230
_cell_length_c 18.0622
_cell_angle_alpha 90.00
_cell_angle_beta 90.00
_cell_angle_gamma 120.00
loop_
_atom_site_label
_atom_site_type_symbol
_atom_site_fract_x
_atom_site_fract_y
_atom_site_fract_z
Cu1 Cu 0.0000 0.0000 0.0000
Si1 Si 0.0000 0.5000 0.5000
Pt1 Pt 0.0069 0.5034 0.3706
Pt2 Pt 0.0170 0.5085 0.8718
Pb1 Pb 0.0000 0.0000 0.3841
```

---

Record 2
A relaxed SmCuPtPb crystal, computed with PBE.

Output
theoretical density: 12.150 g/cm3
DFT formation energy: -474 meV per atom
energy: -5.12 eV per atom

Geometry as CIF:
```
data_SmCuPtPb
_chemical_formula_sum 'Sm4 Cu4 Pt4 Pb4'
_space_group_name_H-M_alt 'F -4 3 m'
_space_group_IT_number 216
_space_group_name_Hall 'F -4 2 3'
_cell_length_a 6.958
_cell_length_b 6.958
_cell_length_c 6.958
_cell_angle_alpha 90.00
_cell_angle_beta 90.00
_cell_angle_gamma 90.00
loop_
_atom_site_label
_atom_site_type_symbol
_atom_site_fract_x
_atom_site_fract_y
_atom_site_fract_z
Sm1 Sm 0.000 0.000 0.000
Cu1 Cu 0.250 0.250 0.250
Pt1 Pt 0.250 0.250 0.750
Pb1 Pb 0.000 0.000 0.500
```

---

Record 3
A relaxed CuSn2PtPb crystal, computed with PBE.

Output
theoretical density: 7.862 g/cm3
DFT formation energy: 405 meV per atom
energy: -3.97 eV per atom

Geometry as CIF:
```
data_CuSn2PtPb
_chemical_formula_sum 'Cu1 Sn2 Pt1 Pb1'
_space_group_name_H-M_alt 'P 4/m m m'
_space_group_IT_number 123
_space_group_name_Hall '-P 4 2'
_cell_length_a 5.160
_cell_length_b 5.160
_cell_length_c 5.578
_cell_angle_alpha 90.00
_cell_angle_beta 90.00
_cell_angle_gamma 90.00
loop_
_atom_site_label
_atom_site_type_symbol
_atom_site_fract_x
_atom_site_fract_y
_atom_site_fract_z
Cu1 Cu 0.000 0.000 0.000
Sn1 Sn 0.000 0.500 0.500
Pt1 Pt 0.500 0.500 0.500
Pb1 Pb 0.500 0.500 0.000
```

---

Record 4
A relaxed CuSnPtPb2 crystal, computed with PBE.

Output
theoretical density: 7.856 g/cm3
DFT formation energy: 838 meV per atom
energy: -3.47 eV per atom

Geometry as CIF:
```
data_CuSnPtPb2
_chemical_formula_sum 'Cu1 Sn1 Pt1 Pb2'
_space_group_name_H-M_alt 'P 4/m m m'
_space_group_IT_number 123
_space_group_name_Hall '-P 4 2'
_cell_length_a 5.808
_cell_length_b 5.808
_cell_length_c 4.962
_cell_angle_alpha 90.00
_cell_angle_beta 90.00
_cell_angle_gamma 90.00
loop_
_atom_site_label
_atom_site_type_symbol
_atom_site_fract_x
_atom_site_fract_y
_atom_site_fract_z
Cu1 Cu 0.000 0.000 0.000
Sn1 Sn 0.500 0.500 0.500
Pt1 Pt 0.500 0.500 0.000
Pb1 Pb 0.000 0.500 0.500
```

---

Record 5
A relaxed SrCuPtPb2 crystal, computed with PBE.

Output
theoretical density: 7.596 g/cm3
DFT formation energy: 1453 meV per atom
energy: -2.39 eV per atom

Geometry as CIF:
```
data_SrCuPtPb2
_chemical_formula_sum 'Sr1 Cu1 Pt1 Pb2'
_space_group_name_H-M_alt 'P 4/m m m'
_space_group_IT_number 123
_space_group_name_Hall '-P 4 2'
_cell_length_a 5.937
_cell_length_b 5.937
_cell_length_c 4.717
_cell_angle_alpha 90.00
_cell_angle_beta 90.00
_cell_angle_gamma 90.00
loop_
_atom_site_label
_atom_site_type_symbol
_atom_site_fract_x
_atom_site_fract_y
_atom_site_fract_z
Sr1 Sr 0.000 0.000 0.000
Cu1 Cu 0.000 0.000 0.500
Pt1 Pt 0.500 0.500 0.500
Pb1 Pb 0.000 0.500 0.000
```

---

Record 6
A relaxed TbCuPtPb crystal, computed with PBE.

Output
theoretical density: 12.666 g/cm3
DFT formation energy: -494 meV per atom
energy: -5.11 eV per atom

Geometry as CIF:
```
data_TbCuPtPb
_chemical_formula_sum 'Tb4 Cu4 Pt4 Pb4'
_space_group_name_H-M_alt 'F -4 3 m'
_space_group_IT_number 216
_space_group_name_Hall 'F -4 2 3'
_cell_length_a 6.894
_cell_length_b 6.894
_cell_length_c 6.894
_cell_angle_alpha 90.00
_cell_angle_beta 90.00
_cell_angle_gamma 90.00
loop_
_atom_site_label
_atom_site_type_symbol
_atom_site_fract_x
_atom_site_fract_y
_atom_site_fract_z
Tb1 Tb 0.000 0.000 0.000
Cu1 Cu 0.250 0.250 0.250
Pt1 Pt 0.250 0.250 0.750
Pb1 Pb 0.000 0.000 0.500
```

---

Record 7
A relaxed PuCu2Pb2S4 crystal, computed with PBE.

Output
theoretical density: 7.751 g/cm3
energy: -5.78 eV per atom

Geometry as CIF:
```
data_PuCu2Pb2S4
_chemical_formula_sum 'Pu2 Cu4 Pb4 S8'
_space_group_name_H-M_alt 'C 1 2/m 1'
_space_group_IT_number 12
_space_group_name_Hall '-C 2y'
_cell_length_a 14.496
_cell_length_b 3.990
_cell_length_c 7.158
_cell_angle_alpha 90.00
_cell_angle_beta 108.94
_cell_angle_gamma 90.00
loop_
_atom_site_label
_atom_site_type_symbol
_atom_site_fract_x
_atom_site_fract_y
_atom_site_fract_z
Pu1 Pu 0.000 0.000 0.000
Cu1 Cu 0.188 0.500 0.010
Pb1 Pb 0.136 0.000 0.589
S1 S 0.033 0.500 0.763
S2 S 0.204 0.000 0.202
```

---

Record 8
A relaxed Pu2CuPbS4 crystal, computed with PBE.

Output
theoretical density: 8.144 g/cm3
energy: -7.75 eV per atom

Geometry as CIF:
```
data_Pu2CuPbS4
_chemical_formula_sum 'Pu8 Cu4 Pb4 S16'
_space_group_name_H-M_alt 'C m c m'
_space_group_IT_number 63
_space_group_name_Hall '-C 2c 2'
_cell_length_a 3.980
_cell_length_b 13.216
_cell_length_c 13.753
_cell_angle_alpha 90.00
_cell_angle_beta 90.00
_cell_angle_gamma 90.00
loop_
_atom_site_label
_atom_site_type_symbol
_atom_site_fract_x
_atom_site_fract_y
_atom_site_fract_z
Pu1 Pu 0.000 0.132 0.062
Cu1 Cu 0.000 0.344 0.750
Pb1 Pb 0.000 0.380 0.250
S1 S 0.000 0.058 0.250
S2 S 0.000 0.231 0.618
S3 S 0.000 0.500 0.000
```

---

Record 9
A relaxed PuCuPbSe4 crystal, computed with PBE.

Output
theoretical density: 8.046 g/cm3
energy: -5.87 eV per atom

Geometry as CIF:
```
data_PuCuPbSe4
_chemical_formula_sum 'Pu2 Cu2 Pb2 Se8'
_space_group_name_H-M_alt 'P 1 21/m 1'
_space_group_IT_number 11
_space_group_name_Hall '-P 2yb'
_cell_length_a 7.134
_cell_length_b 5.762
_cell_length_c 8.737
_cell_angle_alpha 90.00
_cell_angle_beta 107.30
_cell_angle_gamma 90.00
loop_
_atom_site_label
_atom_site_type_symbol
_atom_site_fract_x
_atom_site_fract_y
_atom_site_fract_z
Pu1 Pu 0.235 0.250 0.443
Cu1 Cu 0.246 0.750 0.677
Pb1 Pb 0.220 0.250 0.948
Se1 Se 0.066 0.750 0.871
Se2 Se 0.073 0.750 0.399
Se3 Se 0.478 0.510 0.274
```

---

Record 10
A relaxed PuCuPbSe3 crystal, computed with PBE.

Output
theoretical density: 7.985 g/cm3
energy: -6.25 eV per atom

Geometry as CIF:
```
data_PuCuPbSe3
_chemical_formula_sum 'Pu2 Cu2 Pb2 Se6'
_space_group_name_H-M_alt 'P 1 21/m 1'
_space_group_IT_number 11
_space_group_name_Hall '-P 2yb'
_cell_length_a 8.675
_cell_length_b 4.110
_cell_length_c 9.018
_cell_angle_alpha 90.00
_cell_angle_beta 103.54
_cell_angle_gamma 90.00
loop_
_atom_site_label
_atom_site_type_symbol
_atom_site_fract_x
_atom_site_fract_y
_atom_site_fract_z
Pu1 Pu 0.174 0.250 0.167
Cu1 Cu 0.421 0.750 0.424
Pb1 Pb 0.313 0.750 0.768
Se1 Se 0.062 0.250 0.835
Se2 Se 0.281 0.250 0.493
Se3 Se 0.399 0.750 0.140
```

---

Record 11
A relaxed SmPuCuPb crystal, computed with PBE.

Output
theoretical density: 10.565 g/cm3
DFT formation energy: -109 meV per atom
energy: -6.82 eV per atom

Geometry as CIF:
```
data_SmPuCuPb
_chemical_formula_sum 'Sm4 Pu4 Cu4 Pb4'
_space_group_name_H-M_alt 'F -4 3 m'
_space_group_IT_number 216
_space_group_name_Hall 'F -4 2 3'
_cell_length_a 7.478
_cell_length_b 7.478
_cell_length_c 7.478
_cell_angle_alpha 90.00
_cell_angle_beta 90.00
_cell_angle_gamma 90.00
loop_
_atom_site_label
_atom_site_type_symbol
_atom_site_fract_x
_atom_site_fract_y
_atom_site_fract_z
Sm1 Sm 0.000 0.000 0.000
Pu1 Pu 0.000 0.000 0.500
Cu1 Cu 0.250 0.250 0.750
Pb1 Pb 0.250 0.250 0.250
```

---

Record 12
A relaxed TbPuCuPb crystal, computed with PBE.

Output
theoretical density: 10.969 g/cm3
DFT formation energy: -113 meV per atom
energy: -6.80 eV per atom

Geometry as CIF:
```
data_TbPuCuPb
_chemical_formula_sum 'Tb4 Pu4 Cu4 Pb4'
_space_group_name_H-M_alt 'F -4 3 m'
_space_group_IT_number 216
_space_group_name_Hall 'F -4 2 3'
_cell_length_a 7.416
_cell_length_b 7.416
_cell_length_c 7.416
_cell_angle_alpha 90.00
_cell_angle_beta 90.00
_cell_angle_gamma 90.00
loop_
_atom_site_label
_atom_site_type_symbol
_atom_site_fract_x
_atom_site_fract_y
_atom_site_fract_z
Tb1 Tb 0.000 0.000 0.000
Pu1 Pu 0.000 0.000 0.500
Cu1 Cu 0.250 0.250 0.250
Pb1 Pb 0.250 0.250 0.750
```

---

Record 13
A relaxed PuCuTe3Pb crystal, computed with PBE.

Output
theoretical density: 7.954 g/cm3
energy: -5.79 eV per atom

Geometry as CIF:
```
data_PuCuTe3Pb
_chemical_formula_sum 'Pu2 Cu2 Te6 Pb2'
_space_group_name_H-M_alt 'P 1 21/m 1'
_space_group_IT_number 11
_space_group_name_Hall '-P 2yb'
_cell_length_a 9.320
_cell_length_b 4.323
_cell_length_c 9.610
_cell_angle_alpha 90.00
_cell_angle_beta 104.57
_cell_angle_gamma 90.00
loop_
_atom_site_label
_atom_site_type_symbol
_atom_site_fract_x
_atom_site_fract_y
_atom_site_fract_z
Pu1 Pu 0.176 0.250 0.166
Cu1 Cu 0.424 0.750 0.430
Te1 Te 0.063 0.250 0.830
Te2 Te 0.281 0.250 0.495
Te3 Te 0.406 0.750 0.140
Pb1 Pb 0.312 0.750 0.774
```

---

Record 14
A relaxed YPuCuPb crystal, computed with PBE.

Output
theoretical density: 9.852 g/cm3
DFT formation energy: -122 meV per atom
energy: -7.27 eV per atom

Geometry as CIF:
```
data_YPuCuPb
_chemical_formula_sum 'Y4 Pu4 Cu4 Pb4'
_space_group_name_H-M_alt 'F -4 3 m'
_space_group_IT_number 216
_space_group_name_Hall 'F -4 2 3'
_cell_length_a 7.411
_cell_length_b 7.411
_cell_length_c 7.411
_cell_angle_alpha 90.00
_cell_angle_beta 90.00
_cell_angle_gamma 90.00
loop_
_atom_site_label
_atom_site_type_symbol
_atom_site_fract_x
_atom_site_fract_y
_atom_site_fract_z
Y1 Y 0.000 0.000 0.000
Pu1 Pu 0.000 0.000 0.500
Cu1 Cu 0.250 0.250 0.750
Pb1 Pb 0.250 0.250 0.250
```

---

Record 15
A relaxed PuZnCuPb crystal, computed with PBE.

Output
theoretical density: 11.474 g/cm3
DFT formation energy: 7 meV per atom
energy: -5.85 eV per atom

Geometry as CIF:
```
data_PuZnCuPb
_chemical_formula_sum 'Pu4 Zn4 Cu4 Pb4'
_space_group_name_H-M_alt 'F -4 3 m'
_space_group_IT_number 216
_space_group_name_Hall 'F -4 2 3'
_cell_length_a 6.951
_cell_length_b 6.951
_cell_length_c 6.951
_cell_angle_alpha 90.00
_cell_angle_beta 90.00
_cell_angle_gamma 90.00
loop_
_atom_site_label
_atom_site_type_symbol
_atom_site_fract_x
_atom_site_fract_y
_atom_site_fract_z
Pu1 Pu 0.000 0.000 0.000
Zn1 Zn 0.250 0.250 0.250
Cu1 Cu 0.250 0.250 0.750
Pb1 Pb 0.000 0.000 0.500
```

---

Record 16
A relaxed RbCuPb6 crystal, computed with PBE.

Output
theoretical density: 8.550 g/cm3
DFT formation energy: 20 meV per atom
energy: -3.39 eV per atom

Geometry as CIF:
```
data_RbCuPb6
_chemical_formula_sum 'Rb1 Cu1 Pb6'
_space_group_name_H-M_alt 'P 4/m m m'
_space_group_IT_number 123
_space_group_name_Hall '-P 4 2'
_cell_length_a 4.951
_cell_length_b 4.951
_cell_length_c 11.032
_cell_angle_alpha 90.00
_cell_angle_beta 90.00
_cell_angle_gamma 90.00
loop_
_atom_site_label
_atom_site_type_symbol
_atom_site_fract_x
_atom_site_fract_y
_atom_site_fract_z
Rb1 Rb 0.000 0.000 0.000
Cu1 Cu 0.000 0.000 0.500
Pb1 Pb 0.000 0.500 0.344
Pb2 Pb 0.500 0.500 0.153
```

---

Record 17
A relaxed RbCu2Pb2 crystal, computed with PBE.

Output
theoretical density: 7.313 g/cm3
DFT formation energy: 132 meV per atom
E above lowest polymorph: 0.00 eV per formula unit
energy: -3.18 eV per atom

Geometry as CIF:
```
data_RbCu2Pb2
_chemical_formula_sum 'Rb2 Cu4 Pb4'
_space_group_name_H-M_alt 'I 4/m m m'
_space_group_IT_number 139
_space_group_name_Hall '-I 4 2'
_cell_length_a 4.853
_cell_length_b 4.853
_cell_length_c 12.090
_cell_angle_alpha 90.00
_cell_angle_beta 90.00
_cell_angle_gamma 90.00
loop_
_atom_site_label
_atom_site_type_symbol
_atom_site_fract_x
_atom_site_fract_y
_atom_site_fract_z
Rb1 Rb 0.000 0.000 0.000
Cu1 Cu 0.000 0.500 0.250
Pb1 Pb 0.000 0.000 0.349
```

---

Record 18
A relaxed RbCu3Pb crystal, computed with PBE.

Output
theoretical density: 5.245 g/cm3
DFT formation energy: 1513 meV per atom
E above lowest polymorph: 5.27 eV per formula unit
energy: -1.88 eV per atom

Geometry as CIF:
```
data_RbCu3Pb
_chemical_formula_sum 'Rb1 Cu3 Pb1'
_space_group_name_H-M_alt 'P m -3 m'
_space_group_IT_number 221
_space_group_name_Hall '-P 4 2 3'
_cell_length_a 5.349
_cell_length_b 5.349
_cell_length_c 5.349
_cell_angle_alpha 90.00
_cell_angle_beta 90.00
_cell_angle_gamma 90.00
loop_
_atom_site_label
_atom_site_type_symbol
_atom_site_fract_x
_atom_site_fract_y
_atom_site_fract_z
Rb1 Rb 0.000 0.000 0.000
Cu1 Cu 0.000 0.000 0.500
Pb1 Pb 0.500 0.500 0.500
```

---

Record 19
A relaxed RbCuPb crystal, computed with PBE.

Output
theoretical density: 5.765 g/cm3
DFT formation energy: 260 meV per atom
energy: -2.66 eV per atom

Geometry as CIF:
```
data_RbCuPb
_chemical_formula_sum 'Rb4 Cu4 Pb4'
_space_group_name_H-M_alt 'C 1 2/m 1'
_space_group_IT_number 12
_space_group_name_Hall '-C 2y'
_cell_length_a 14.939
_cell_length_b 4.022
_cell_length_c 6.899
_cell_angle_alpha 90.00
_cell_angle_beta 98.08
_cell_angle_gamma 90.00
loop_
_atom_site_label
_atom_site_type_symbol
_atom_site_fract_x
_atom_site_fract_y
_atom_site_fract_z
Rb1 Rb 0.132 0.000 0.043
Cu1 Cu 0.002 0.500 0.321
Pb1 Pb 0.164 0.500 0.549
```

---

Record 20
A relaxed Rb2CuPb2 crystal, computed with PBE.

Output
theoretical density: 6.079 g/cm3
DFT formation energy: 130 meV per atom
energy: -2.56 eV per atom

Geometry as CIF:
```
data_Rb2CuPb2
_chemical_formula_sum 'Rb4 Cu2 Pb4'
_space_group_name_H-M_alt 'P 4/m b m'
_space_group_IT_number 127
_space_group_name_Hall '-P 4 2ab'
_cell_length_a 7.457
_cell_length_b 7.457
_cell_length_c 6.376
_cell_angle_alpha 90.00
_cell_angle_beta 90.00
_cell_angle_gamma 90.00
loop_
_atom_site_label
_atom_site_type_symbol
_atom_site_fract_x
_atom_site_fract_y
_atom_site_fract_z
Rb1 Rb 0.175 0.325 0.000
Cu1 Cu 0.000 0.000 0.500
Pb1 Pb 0.151 0.651 0.500
```